No. 1
# Sc4ZnRu (GGA-PBE, relaxed)
# DFT total energy   -73.48 eV/cell
# Total moment   0.00 Bohr magnetons per cell
# Energy relative to the elements   -143.9 meV/atom
data_Sc4ZnRu
_space_group_name_H-M_alt 'C 1 2/m 1'
_space_group_IT_number 12
_cell_length_a 8.046
_cell_length_b 4.629
_cell_length_c 7.727
_cell_angle_alpha 90.00
_cell_angle_beta 110.16
_cell_angle_gamma 90.00
loop_
_space_group_symop_operation_xyz
'x,y,z'
'-x,-y,-z'
'-x,y,-z'
'x,-y,z'
'x+1/2,y+1/2,z'
'-x+1/2,-y+1/2,-z'
'-x+1/2,y+1/2,-z'
'x+1/2,-y+1/2,z'
loop_
_atom_site_label
_atom_site_type_symbol
_atom_site_fract_x
_atom_site_fract_y
_atom_site_fract_z
Sc1 Sc 0.120 0.000 0.360
Sc2 Sc 0.131 0.500 0.893
Zn1 Zn 0.000 0.500 0.500
Ru1 Ru 0.000 0.000 0.000

No. 2
# Li2TaO4 (GGA-PBE, relaxed)
# DFT total energy   -202.86 eV/cell
# Total moment   4.03 Bohr magnetons per cell
# ΔE_f (raw)   -15.20 eV per formula unit
data_Li2TaO4
_space_group_name_H-M_alt 'I m m a'
_space_group_IT_number 74
_space_group_name_Hall '-I 2b 2'
_cell_length_a 5.780
_cell_length_b 6.161
_cell_length_c 8.925
_cell_angle_alpha 90.00
_cell_angle_beta 90.00
_cell_angle_gamma 90.00
loop_
_atom_site_label
_atom_site_type_symbol
_atom_site_fract_x
_atom_site_fract_y
_atom_site_fract_z
Li1 Li 0.000 0.250 0.140
Li2 Li 0.250 0.250 0.750
Ta1 Ta 0.000 0.000 0.500
O1 O 0.000 0.007 0.721
O2 O 0.227 0.250 0.501

No. 3
# Ce3HN3 (GGA-PBE, relaxed)
# DFT total energy   -329.19 eV/cell
# Total moment   12.47 Bohr magnetons per cell
data_Ce3HN3
_space_group_name_H-M_alt 'R -3'
_space_group_IT_number 148
_space_group_name_Hall '-R 3'
_cell_length_a 6.9883
_cell_length_b 6.9883
_cell_length_c 16.2391
_cell_angle_alpha 90.00
_cell_angle_beta 90.00
_cell_angle_gamma 120.00
loop_
_atom_site_label
_atom_site_type_symbol
_atom_site_fract_x
_atom_site_fract_y
_atom_site_fract_z
Ce1 Ce 0.0043 0.6579 0.4156
H1 H 0.0000 0.0000 0.1687
N1 N 0.0045 0.6825 0.6047

No. 4
# Ir2RuSF (GGA-PBE, relaxed)
# DFT total energy   -29.34 eV/cell
# Total moment   2.99 Bohr magnetons per cell
# ΔE_f (raw)   3.65 eV per formula unit
data_Ir2RuSF
_space_group_name_H-M_alt 'P 4/m m m'
_space_group_IT_number 123
_space_group_name_Hall '-P 4 2'
_cell_length_a 4.421
_cell_length_b 4.421
_cell_length_c 3.994
_cell_angle_alpha 90.00
_cell_angle_beta 90.00
_cell_angle_gamma 90.00
loop_
_atom_site_label
_atom_site_type_symbol
_atom_site_fract_x
_atom_site_fract_y
_atom_site_fract_z
Ir1 Ir 0.000 0.500 0.000
Ru1 Ru 0.000 0.000 0.500
S1 S 0.500 0.500 0.000
F1 F 0.500 0.500 0.500

No. 5
# Ba5TiH2N4 (GGA-PBE, relaxed)
# DFT total energy   -131.19 eV/cell
# Total moment   0.00 Bohr magnetons per cell
data_Ba5TiH2N4
_space_group_name_H-M_alt 'A m m 2'
_space_group_IT_number 38
_cell_length_a 7.936
_cell_length_b 10.324
_cell_length_c 6.442
_cell_angle_alpha 90.00
_cell_angle_beta 90.00
_cell_angle_gamma 90.00
loop_
_space_group_symop_operation_xyz
'x,y,z'
'-x,-y,z'
'-x,y,z'
'x,-y,z'
'x,y+1/2,z+1/2'
'-x,-y+1/2,z+1/2'
'-x,y+1/2,z+1/2'
'x,-y+1/2,z+1/2'
loop_
_atom_site_label
_atom_site_type_symbol
_atom_site_fract_x
_atom_site_fract_y
_atom_site_fract_z
Ba1 Ba 0.000 0.000 0.000
Ba2 Ba 0.284 0.181 0.488
Ti1 Ti 0.500 0.000 0.008
H1 H 0.000 0.222 0.746
N1 N 0.295 0.000 0.185
N2 N 0.500 0.154 0.826

No. 6
# IrOsRh (GGA-PBE, relaxed)
# DFT total energy   -26.57 eV/cell
# Total moment   0.00 Bohr magnetons per cell
# Energy relative to the elements   292.4 meV/atom
data_IrOsRh
_space_group_name_H-M_alt 'P -6 m 2'
_space_group_IT_number 187
_space_group_name_Hall 'P -6 2'
_cell_length_a 4.3441
_cell_length_b 4.3441
_cell_length_c 2.6799
_cell_angle_alpha 90.00
_cell_angle_beta 90.00
_cell_angle_gamma 120.00
loop_
_atom_site_label
_atom_site_type_symbol
_atom_site_fract_x
_atom_site_fract_y
_atom_site_fract_z
Ir1 Ir 0.0000 0.0000 0.0000
Os1 Os 0.6667 0.3333 0.5000
Rh1 Rh 0.3333 0.6667 0.0000

Question: Which of these has the highest DFT total energy?
Answer: IrOsRh